Density functional theory data (GGA-PBE) for a relaxed PrThCu2Si2 crystal.

Cell: 4.167 4.167 8.211 Å, 90.00 90.00 120.00°
Element x y z (fractional)
Pr (0.000, 0.000, 0.000)
Th (0.000, 0.000, 0.500)
Cu (0.333, 0.667, 0.742)
Cu (0.667, 0.333, 0.258)
Si (0.333, 0.667, 0.254)
Si (0.667, 0.333, 0.746)

Summary:
Crystal system: trigonal
Total moment in μB/cell: 0.00
Uncorrected formation energy in eV per atom: -0.63

***

Density functional theory data (GGA-PBE) for a relaxed LaMg2Cu crystal.

Cell: 3.367 3.367 8.153 Å, 90.00 90.00 90.00°
Element x y z (fractional)
La (0.000, 0.000, 0.000)
Mg (0.000, 0.000, 0.581)
Mg (0.500, 0.500, 0.328)
Cu (0.500, 0.500, 0.749)

Summary:
Crystal system: tetragonal
Total moment in μB/cell: 0.00
ΔH_f (0 K) in eV/f.u.: -0.28

***

Density functional theory data (GGA-PBE) for a relaxed LiZr3Pd12 crystal.

Cell: 4.023 4.023 15.888 Å, 90.00 90.00 90.00°
Element x y z (fractional)
Li (0.000, 0.000, 0.000)
Zr (0.000, 0.000, 0.241)
Zr (0.000, 0.000, 0.500)
Zr (0.000, 0.000, 0.759)
Pd (0.000, 0.500, 0.121)
Pd (0.000, 0.500, 0.374)
Pd (0.000, 0.500, 0.626)
Pd (0.000, 0.500, 0.879)
Pd (0.500, 0.000, 0.121)
Pd (0.500, 0.000, 0.374)
Pd (0.500, 0.000, 0.626)
Pd (0.500, 0.000, 0.879)
Pd (0.500, 0.500, 0.000)
Pd (0.500, 0.500, 0.249)
Pd (0.500, 0.500, 0.500)
Pd (0.500, 0.500, 0.751)

Summary:
Crystal system: tetragonal
Total moment in μB/cell: 0.00
ΔH_f (0 K) in eV/f.u.: -10.93

***

Density functional theory data (GGA-PBE) for a relaxed LuMgCu crystal.

Cell: 4.590 4.590 4.590 Å, 60.00 60.00 60.00°
Element x y z (fractional)
Lu (0.000, 0.000, 0.000)
Mg (0.500, 0.500, 0.500)
Cu (0.750, 0.750, 0.750)

Summary:
Crystal system: cubic
Total moment in μB/cell: 0.00
ΔH_f (0 K) in eV/f.u.: -0.10